Below is crystalline LuIn2Hg at its relaxed geometry, with properties calculated at the PBE level.

Cell: 4.833 4.833 5.767 Å, 65.22 65.22 60.00°
Fractional positions:
Lu: 0.000 0.000 0.000
Hg: 0.500 0.500 0.500
In: 0.762 0.762 0.715
In: 0.238 0.238 0.285

Properties
N(E_F) = 2.031 states/eV per cell
formation enthalpy at 0 K = -91 meV per atom